Entry 1:
! TmGe2Rh4 (PBE, optimized geometry); values from VASP
&SYSTEM
  ibrav = 0, nat = 28, ntyp = 3
/
ATOMIC_SPECIES
Tm 168.93 Tm.upf
Ge 72.64 Ge.upf
Rh 102.91 Rh.upf
CELL_PARAMETERS angstrom
11.441 0.000 0.000
0.000 4.197 0.000
0.000 0.000 9.165
ATOMIC_POSITIONS crystal
Tm 0.174 0.250 0.148
Tm 0.326 0.750 0.648
Tm 0.674 0.250 0.352
Tm 0.826 0.750 0.852
Ge 0.060 0.750 0.381
Ge 0.139 0.750 0.915
Ge 0.361 0.250 0.415
Ge 0.440 0.250 0.881
Ge 0.560 0.750 0.119
Ge 0.639 0.750 0.585
Ge 0.861 0.250 0.085
Ge 0.940 0.250 0.619
Rh 0.001 0.250 0.884
Rh 0.062 0.750 0.671
Rh 0.156 0.250 0.496
Rh 0.231 0.250 0.807
Rh 0.269 0.750 0.307
Rh 0.344 0.750 0.996
Rh 0.438 0.250 0.171
Rh 0.499 0.750 0.384
Rh 0.501 0.250 0.616
Rh 0.562 0.750 0.829
Rh 0.656 0.250 0.004
Rh 0.731 0.250 0.693
Rh 0.769 0.750 0.193
Rh 0.844 0.750 0.504
Rh 0.938 0.250 0.329
Rh 0.999 0.750 0.116
! * total energy: -6.94 eV/atom
! * formation enthalpy at 0 K: -0.7833 eV per atom

Entry 2:
! KAs2IrPd (PBE, optimized geometry); values from VASP
&SYSTEM
  ibrav = 0, nat = 5, ntyp = 4
/
ATOMIC_SPECIES
K 39.10 K.upf
As 74.92 As.upf
Ir 192.22 Ir.upf
Pd 106.42 Pd.upf
CELL_PARAMETERS angstrom
4.872 0.000 0.000
0.000 4.872 0.000
0.000 0.000 5.160
ATOMIC_POSITIONS crystal
K 0.000 0.000 0.000
As 0.000 0.500 0.500
As 0.500 0.000 0.500
Ir 0.500 0.500 0.000
Pd 0.500 0.500 0.500
! * total energy: -4.16 eV/atom
! * formation enthalpy at 0 K: 0.7282 eV per atom

Entry 3:
! PrZr2Ga6 (PBE, optimized geometry); values from VASP
&SYSTEM
  ibrav = 0, nat = 9, ntyp = 3
/
ATOMIC_SPECIES
Pr 140.91 Pr.upf
Zr 91.22 Zr.upf
Ga 69.72 Ga.upf
CELL_PARAMETERS angstrom
-2.107 3.492 6.383
2.107 -3.492 6.383
2.107 3.492 -6.383
ATOMIC_POSITIONS crystal
Pr 0.000 0.000 0.000
Zr 0.379 0.879 0.500
Zr 0.621 0.121 0.500
Ga 0.019 0.309 0.710
Ga 0.321 0.500 0.821
Ga 0.400 0.691 0.710
Ga 0.600 0.309 0.290
Ga 0.679 0.500 0.179
Ga 0.981 0.691 0.290
! * total energy: -4.89 eV/atom
! * formation enthalpy at 0 K: -0.4385 eV per atom

Entry 4:
! KZnCo2 (PBE, optimized geometry); values from VASP
&SYSTEM
  ibrav = 0, nat = 4, ntyp = 3
/
ATOMIC_SPECIES
K 39.10 K.upf
Zn 65.41 Zn.upf
Co 58.93 Co.upf
CELL_PARAMETERS angstrom
5.110 0.000 0.000
0.000 5.110 0.000
0.000 0.000 2.607
ATOMIC_POSITIONS crystal
K 0.000 0.000 0.000
Zn 0.500 0.500 0.000
Co 0.000 0.500 0.500
Co 0.500 0.000 0.500
! * total energy: -3.07 eV/atom
! * formation enthalpy at 0 K: 1.0710 eV per atom

Entry 5:
! ZrCuSbI2 (PBE, optimized geometry); values from VASP
&SYSTEM
  ibrav = 0, nat = 5, ntyp = 4
/
ATOMIC_SPECIES
Zr 91.22 Zr.upf
Cu 63.55 Cu.upf
Sb 121.76 Sb.upf
I 126.90 I.upf
CELL_PARAMETERS angstrom
5.187 0.000 0.000
0.000 5.187 0.000
0.000 0.000 5.274
ATOMIC_POSITIONS crystal
Zr 0.000 0.000 0.000
Cu 0.500 0.500 0.500
Sb 0.500 0.500 0.000
I 0.000 0.500 0.500
I 0.500 0.000 0.500
! * total energy: -3.42 eV/atom
! * raw formation energy: 0.55 eV per atom

Entry 6:
! BeReOs2 (PBE, optimized geometry); values from VASP
&SYSTEM
  ibrav = 0, nat = 4, ntyp = 3
/
ATOMIC_SPECIES
Be 9.01 Be.upf
Re 186.21 Re.upf
Os 190.23 Os.upf
CELL_PARAMETERS angstrom
2.801 0.000 0.000
0.000 2.801 0.000
0.000 0.000 6.551
ATOMIC_POSITIONS crystal
Be 0.000 0.000 0.000
Re 0.000 0.000 0.500
Os 0.500 0.500 0.216
Os 0.500 0.500 0.784
! * total energy: -9.74 eV/atom
! * formation enthalpy at 0 K: -0.0819 eV per atom

Entry 7:
! Na5B2S6 (PBE, optimized geometry); values from VASP
&SYSTEM
  ibrav = 0, nat = 26, ntyp = 3
/
ATOMIC_SPECIES
Na 22.99 Na.upf
B 10.81 B.upf
S 32.06 S.upf
CELL_PARAMETERS angstrom
5.701 -3.532 0.000
5.701 3.532 0.000
-3.521 0.000 13.783
ATOMIC_POSITIONS crystal
Na 0.130 0.870 0.750
Na 0.192 0.717 0.000
Na 0.232 0.453 0.273
Na 0.283 0.808 0.500
Na 0.453 0.232 0.773
Na 0.547 0.768 0.227
Na 0.717 0.192 0.500
Na 0.768 0.547 0.727
Na 0.808 0.283 0.000
Na 0.870 0.130 0.250
B 0.130 0.401 0.575
B 0.401 0.130 0.075
B 0.599 0.870 0.925
B 0.870 0.599 0.425
S 0.104 0.190 0.638
S 0.145 0.313 0.435
S 0.190 0.104 0.138
S 0.313 0.145 0.935
S 0.382 0.474 0.624
S 0.474 0.382 0.124
S 0.526 0.618 0.876
S 0.618 0.526 0.376
S 0.687 0.855 0.065
S 0.810 0.896 0.862
S 0.855 0.687 0.565
S 0.896 0.810 0.362
! * total energy: -4.23 eV/atom
! * raw formation energy: -0.79 eV per atom

Entry 8:
! PuURh2 (PBE, optimized geometry); values from VASP
&SYSTEM
  ibrav = 0, nat = 4, ntyp = 3
/
ATOMIC_SPECIES
Pu 244.00 Pu.upf
U 238.03 U.upf
Rh 102.91 Rh.upf
CELL_PARAMETERS angstrom
3.399 0.000 0.000
0.000 3.399 0.000
0.000 0.000 6.969
ATOMIC_POSITIONS crystal
Pu 0.000 0.000 0.000
U 0.000 0.000 0.500
Rh 0.500 0.500 0.276
Rh 0.500 0.500 0.724
! * total energy: -10.49 eV/atom
! * formation enthalpy at 0 K: -0.4120 eV per atom

Entry 9:
! Nd4SnGeO (PBE, optimized geometry); values from VASP
&SYSTEM
  ibrav = 0, nat = 14, ntyp = 4
/
ATOMIC_SPECIES
Nd 144.24 Nd.upf
Sn 118.71 Sn.upf
Ge 72.64 Ge.upf
O 16.00 O.upf
CELL_PARAMETERS angstrom
3.291 -8.675 0.000
3.291 8.675 0.000
0.000 0.000 6.622
ATOMIC_POSITIONS crystal
Nd 0.000 0.500 0.000
Nd 0.000 0.500 0.500
Nd 0.063 0.937 0.750
Nd 0.422 0.578 0.750
Nd 0.500 0.000 0.000
Nd 0.500 0.000 0.500
Nd 0.578 0.422 0.250
Nd 0.937 0.063 0.250
Sn 0.390 0.610 0.250
Sn 0.610 0.390 0.750
Ge 0.116 0.884 0.250
Ge 0.884 0.116 0.750
O 0.282 0.718 0.750
O 0.718 0.282 0.250
! * total energy: -5.91 eV/atom
! * raw formation energy: -1.25 eV per atom

Entry 10:
! InSiNi (PBE, optimized geometry); values from VASP
&SYSTEM
  ibrav = 0, nat = 12, ntyp = 3
/
ATOMIC_SPECIES
In 114.82 In.upf
Si 28.09 Si.upf
Ni 58.69 Ni.upf
CELL_PARAMETERS angstrom
5.871 0.000 0.000
0.000 5.871 0.000
0.000 0.000 5.871
ATOMIC_POSITIONS crystal
In 0.000 0.000 0.000
In 0.000 0.500 0.500
In 0.500 0.000 0.500
In 0.500 0.500 0.000
Si 0.000 0.000 0.500
Si 0.000 0.500 0.000
Si 0.500 0.000 0.000
Si 0.500 0.500 0.500
Ni 0.250 0.250 0.250
Ni 0.250 0.750 0.750
Ni 0.750 0.250 0.750
Ni 0.750 0.750 0.250
! * total energy: -4.74 eV/atom
! * raw formation energy: -0.09 eV per atom

Entry 11:
! TbPr2Tl3Se6 (PBE, optimized geometry); values from VASP
&SYSTEM
  ibrav = 0, nat = 12, ntyp = 4
/
ATOMIC_SPECIES
Tb 158.93 Tb.upf
Pr 140.91 Pr.upf
Tl 204.38 Tl.upf
Se 78.96 Se.upf
CELL_PARAMETERS angstrom
3.732 -6.462 0.000
3.732 6.462 0.000
-2.488 0.000 7.755
ATOMIC_POSITIONS crystal
Tb 0.000 0.000 0.000
Pr 0.333 0.667 0.000
Pr 0.667 0.333 0.000
Tl 0.168 0.832 0.500
Tl 0.500 0.500 0.500
Tl 0.832 0.168 0.500
Se 0.070 0.394 0.209
Se 0.254 0.254 0.789
Se 0.394 0.070 0.209
Se 0.606 0.930 0.791
Se 0.746 0.746 0.211
Se 0.930 0.606 0.791
! * total energy: -4.89 eV/atom
! * raw formation energy: -1.38 eV per atom

Entry 12:
! Y2BeSi (PBE, optimized geometry); values from VASP
&SYSTEM
  ibrav = 0, nat = 16, ntyp = 3
/
ATOMIC_SPECIES
Y 88.91 Y.upf
Be 9.01 Be.upf
Si 28.09 Si.upf
CELL_PARAMETERS angstrom
6.893 0.000 0.000
0.000 6.893 0.000
0.000 0.000 6.893
ATOMIC_POSITIONS crystal
Y 0.250 0.250 0.250
Y 0.250 0.250 0.750
Y 0.250 0.750 0.250
Y 0.250 0.750 0.750
Y 0.750 0.250 0.250
Y 0.750 0.250 0.750
Y 0.750 0.750 0.250
Y 0.750 0.750 0.750
Be 0.000 0.000 0.000
Be 0.000 0.500 0.500
Be 0.500 0.000 0.500
Be 0.500 0.500 0.000
Si 0.000 0.000 0.500
Si 0.000 0.500 0.000
Si 0.500 0.000 0.000
Si 0.500 0.500 0.500
! * total energy: -5.77 eV/atom
! * raw formation energy: -0.25 eV per atom